DFT (GGA-PBE) results for a relaxed structure of InH2Pb2.

extended XYZ file:
```
5
Lattice="-1.832 1.832 7.464 1.832 -1.832 7.464 1.832 1.832 -7.464" Properties=species:S:1:pos:R:3 pbc="T T T"
In 0.000 0.000 0.000
H 1.832 0.000 3.732
H 0.000 1.832 3.732
Pb 0.000 0.000 5.221
Pb 0.000 0.000 9.707
```

**ΔE to the lowest computed polymorph**: 0.000 eV per atom
**Crystal system**: tetragonal
**Magnetic moment**: 0.00 μB per formula unit
**Raw total energy**: -3.043 eV/atom